Entry from Alexandria: a relaxed BaHgIr crystal (GGA-PBE).

The calculation puts the total energy at -3.527 eV/atom. As for the formation enthalpy at 0 K: 0.168 eV per atom.

The space group is F-43m (No. 216) and the conventional cell measures 7.091, 7.091 and 7.091 Å, with angles of 90.00, 90.00 and 90.00 degrees. The asymmetric unit holds Ba at (0.000, 0.000, 0.000), Hg at (0.000, 0.000, 0.500) and Ir at (0.250, 0.250, 0.250).

=====

Entry from Alexandria: a relaxed Dy2BeGe4Pt3 crystal (GGA-PBE).

The calculation puts the total energy at -5.724 eV/atom. As for the formation enthalpy at 0 K: -0.772 eV per atom.

The space group is P-4m2 (No. 115) and the conventional cell measures 4.079, 4.079 and 10.898 Å, with angles of 90.00, 90.00 and 90.00 degrees. The asymmetric unit holds Dy at (0.000, 0.500, 0.235), Be at (0.500, 0.500, 0.000), Ge at (0.000, 0.000, 0.500), Ge at (0.000, 0.500, 0.867), Ge at (0.500, 0.500, 0.500), Pt at (0.000, 0.000, 0.000) and Pt at (0.000, 0.500, 0.641).